No. 1
A geometry-optimized TmTePO structure, computed with PBE-GGA.

Energy relative to the lowest polymorph listed for this composition   10 meV/atom
Size of the total moment   0.0 μB/f.u.
Final energy   -5.787 eV per atom

Cell: 5.1015 7.2860 6.0374 Å, 90.00 90.00 90.00°
Closest atoms and distances in Å follow each position.
Element x y z (fractional)
1 Tm 0.0000 0.1715 0.0000  2 O 2.00
2 Tm 0.0000 0.8285 0.5000  2 O 2.00
3 Te 0.5000 0.3242 0.5874  2 P 2.54-2.55
4 Te 0.5000 0.6758 0.0874  2 P 2.54-2.55
5 P 0.5000 0.3327 0.0082  2 Te 2.54-2.55, 2 Tm 2.81
6 P 0.5000 0.6673 0.5082  2 Te 2.54-2.55, 2 Tm 2.81
7 O 0.0000 0.0419 0.2911  2 Tm 2.00
8 O 0.0000 0.9581 0.7911  2 Tm 2.00

***

No. 2
A geometry-optimized ZrTePO structure, computed with PBE-GGA.

Energy relative to the lowest polymorph listed for this composition   350 meV/atom
Size of the total moment   0.0 μB/f.u.
Final energy   -6.396 eV per atom

Cell: 3.8716 3.8716 10.1554 Å, 90.00 90.00 90.00°
Closest atoms and distances in Å follow each position.
Element x y z (fractional)
1 Zr 0.2500 0.2500 0.1103  4 O 2.24
2 Zr 0.7500 0.7500 0.8897  4 O 2.24
3 Te 0.2500 0.7500 0.5000  4 Te 2.74
4 Te 0.7500 0.2500 0.5000  4 Te 2.74
5 P 0.2500 0.2500 0.7635  4 Zr 3.02, 4 O 3.09, 4 Te 3.30
6 P 0.7500 0.7500 0.2365  4 Zr 3.02, 4 O 3.09, 4 Te 3.30
7 O 0.2500 0.7500 0.0000  4 Zr 2.24
8 O 0.7500 0.2500 0.0000  4 Zr 2.24

***

No. 3
A geometry-optimized ZrTePO structure, computed with PBE-GGA.

Energy relative to the lowest polymorph listed for this composition   106 meV/atom
Size of the total moment   0.0 μB/f.u.
Final energy   -6.640 eV per atom

Cell: 3.4312 8.3934 6.3816 Å, 90.00 90.00 90.00°
Closest atoms and distances in Å follow each position.
Element x y z (fractional)
1 Zr 0.0000 0.2304 0.0000  2 O 1.99
2 Zr 0.0000 0.7696 0.5000  2 O 1.99
3 Te 0.5000 0.2478 0.5795  2 P 2.63
4 Te 0.5000 0.7522 0.0795  2 P 2.63
5 P 0.0000 0.0740 0.3668  2 Te 2.63, 2 Zr 2.68-2.69
6 P 0.0000 0.9260 0.8668  2 Te 2.63, 2 Zr 2.68-2.69
7 O 0.5000 0.3396 0.0645  2 Zr 1.99
8 O 0.5000 0.6604 0.5645  2 Zr 1.99

***

No. 4
A geometry-optimized ZrTePO structure, computed with PBE-GGA.

Energy relative to the lowest polymorph listed for this composition   0 meV/atom
Size of the total moment   0.0 μB/f.u.
Final energy   -6.746 eV per atom

Cell: 4.3196 8.0577 5.7610 Å, 90.00 90.00 90.00°
Closest atoms and distances in Å follow each position.
Element x y z (fractional)
1 Zr 0.0000 0.1598 0.0000  2 O 1.95-1.99
2 Zr 0.0000 0.8402 0.5000  2 O 1.95-1.99
3 Te 0.5000 0.3123 0.6709  1 P 2.49
4 Te 0.5000 0.6877 0.1709  1 P 2.49
5 P 0.5000 0.3345 0.1012  1 Te 2.49, 2 Zr 2.64
6 P 0.5000 0.6655 0.6012  1 Te 2.49, 2 Zr 2.64
7 O 0.0000 0.0380 0.2928  2 Zr 1.95-1.99
8 O 0.0000 0.9620 0.7928  2 Zr 1.95-1.99

***

No. 5
A geometry-optimized ZrTePO structure, computed with PBE-GGA.

Energy relative to the lowest polymorph listed for this composition   614 meV/atom
Size of the total moment   0.0 μB/f.u.
Final energy   -6.132 eV per atom

Cell: 5.0339 5.0339 5.3475 Å, 90.00 90.00 90.00°
Closest atoms and distances in Å follow each position.
Element x y z (fractional)
1 Zr 0.2500 0.7500 0.0000  4 P 2.63, 2 O 2.67
2 Zr 0.7500 0.2500 0.0000  4 P 2.63, 2 O 2.67
3 Te 0.2500 0.2500 0.3834  2 P 2.53-2.82, 4 O 2.59
4 Te 0.7500 0.7500 0.6166  2 P 2.53-2.82, 4 O 2.59
5 P 0.2500 0.2500 0.8559  2 Te 2.53-2.82, 4 Zr 2.63
6 P 0.7500 0.7500 0.1441  2 Te 2.53-2.82, 4 Zr 2.63
7 O 0.2500 0.7500 0.5000  4 Te 2.59, 2 Zr 2.67
8 O 0.7500 0.2500 0.5000  4 Te 2.59, 2 Zr 2.67

***

No. 6
A geometry-optimized TlZnPO structure, computed with PBE-GGA.

Energy relative to the lowest polymorph listed for this composition   181 meV/atom
Final energy   -3.646 eV per atom

Cell: 4.2304 4.2304 9.0192 Å, 90.00 90.00 90.00°
Closest atoms and distances in Å follow each position.
Element x y z (fractional)
1 Tl 0.2500 0.7500 0.0000  4 P 2.71, 4 Tl 2.99
2 Tl 0.7500 0.2500 0.0000  4 P 2.71, 4 Tl 2.99
3 Zn 0.2500 0.2500 0.4736  4 O 2.13
4 Zn 0.7500 0.7500 0.5264  4 O 2.13
5 P 0.2500 0.2500 0.1885  1 Zn 2.57, 4 Tl 2.71
6 P 0.7500 0.7500 0.8115  1 Zn 2.57, 4 Tl 2.71
7 O 0.2500 0.7500 0.5000  4 Zn 2.13
8 O 0.7500 0.2500 0.5000  4 Zn 2.13